Entry 1:
First-principles (PBE) data for crystalline AlIn2Te at its relaxed geometry, as listed in the Alexandria database.

Geometry as POSCAR:
```
AlIn2Te
1.0
3.162 0.012 0.000
-0.498 3.123 0.000
0.000 0.000 10.611
Te Al In
1 1 2
Cartesian
1.332 1.567 2.653
1.332 1.567 7.958
0.000 0.000 10.290
0.000 0.000 5.627
```

Magnetic moment, Bohr magnetons per cell: 0.00
E_tot, eV/atom: -2.9537
Theoretical density, Mg/m³: 6.09
N(E_F), states/eV per cell: 1.80
Relative energy among the computed polymorphs, eV per atom: 0.1779
Formation energy from raw total energies, eV per atom: 0.137



Entry 2:
First-principles (PBE) data for crystalline BaSr2Cu at its relaxed geometry, as listed in the Alexandria database.

Geometry as POSCAR:
```
BaSr2Cu
1.0
3.963 0.085 0.000
-0.083 3.963 0.000
0.000 0.000 10.525
Sr Ba Cu
2 1 1
Cartesian
0.000 0.000 9.703
0.000 0.000 6.084
1.940 2.024 2.631
1.940 2.024 7.894
```

Magnetic moment, Bohr magnetons per cell: 0.00
E_tot, eV/atom: -2.3081
Theoretical density, Mg/m³: 3.78
Formation enthalpy at 0 K, kJ/mol of atoms: 3.6
N(E_F), states/eV per cell: 4.93
Relative energy among the computed polymorphs, eV per atom: 0.0397



Entry 3:
First-principles (PBE) data for crystalline MnZnW at its relaxed geometry, as listed in the Alexandria database.

Geometry as POSCAR:
```
MnZnW
1.0
6.502 0.005 -0.004
5.845 2.588 0.033
0.657 -0.417 2.550
Mn W Zn
1 1 1
Cartesian
0.668 -0.414 2.547
4.611 0.601 1.697
8.383 1.572 0.884
```

Magnetic moment, Bohr magnetons per cell: 2.40
E_tot, eV/atom: -7.5889
Theoretical density, Mg/m³: 11.76
Formation enthalpy at 0 K, kJ/mol of atoms: 20.3
N(E_F), states/eV per cell: 1.89
Relative energy among the computed polymorphs, eV per atom: 0.0180